# 1
# HfCd2Au

A relaxed HfCd2Au crystal (PBE, Alexandria).

Summary:
Fermi-level density of states in states/eV/atom: 0.790
Energy relative to the lowest polymorph listed for this composition in eV per atom: 0.284

Lattice parameters (Å, degrees): 7.9238 7.9238 6.2858 50.93 50.93 90.00
Positions (direct):
Hf: 0.5000 0.5000 0.0000
Hf: 0.2500 0.7500 0.5000
Au: 0.0000 0.0000 0.0000
Au: 0.7500 0.2500 0.5000
Cd: 0.6454 0.1250 0.2500
Cd: 0.1046 0.6250 0.2500
Cd: 0.3750 0.3546 0.7500
Cd: 0.8750 0.8954 0.7500



# 2
# Hf2Cd2Au

A relaxed Hf2Cd2Au crystal (PBE, Alexandria).

Summary:
Fermi-level density of states in states/eV/atom: 1.246
Energy relative to the lowest polymorph listed for this composition in eV per atom: 0.252

Lattice parameters (Å, degrees): 3.8122 3.8122 8.3289 76.77 76.77 90.00
Positions (direct):
Hf: 0.4102 0.4102 0.1796
Hf: 0.5898 0.5898 0.8204
Au: 0.0000 0.0000 0.0000
Cd: 0.7500 0.2500 0.5000
Cd: 0.2500 0.7500 0.5000



# 3
# HfCd2Au

A relaxed HfCd2Au crystal (PBE, Alexandria).

Summary:
Fermi-level density of states in states/eV/atom: 0.719
Energy relative to the lowest polymorph listed for this composition in eV per atom: 0.000

Lattice parameters (Å, degrees): 4.6362 4.1940 4.1940 90.00 90.00 90.00
Positions (direct):
Hf: 0.5000 0.0000 0.0000
Au: 0.5000 0.5000 0.5000
Cd: 0.0000 0.0000 0.5000
Cd: 0.0000 0.5000 0.0000



# 4
# HfCd2Au

A relaxed HfCd2Au crystal (PBE, Alexandria).

Summary:
Fermi-level density of states in states/eV/atom: 0.860
Energy relative to the lowest polymorph listed for this composition in eV per atom: 0.035

Lattice parameters (Å, degrees): 3.1181 3.1181 8.3543 90.00 90.00 90.00
Positions (direct):
Hf: 0.5000 0.5000 0.5000
Au: 0.5000 0.5000 0.0000
Cd: 0.0000 0.0000 0.7622
Cd: 0.0000 0.0000 0.2378



# 5
# HfCd3Au

A relaxed HfCd3Au crystal (PBE, Alexandria).

Summary:
Fermi-level density of states in states/eV/atom: 0.774
Energy relative to the lowest polymorph listed for this composition in eV per atom: 0.000

Lattice parameters (Å, degrees): 5.1111 5.1111 5.1111 90.00 90.00 90.00
Positions (direct):
Hf: 0.5000 0.5000 0.5000
Au: 0.0000 0.0000 0.0000
Cd: 0.0000 0.5000 0.0000
Cd: 0.0000 0.0000 0.5000
Cd: 0.5000 0.0000 0.0000



# 6
# HfCdAu2

A relaxed HfCdAu2 crystal (PBE, Alexandria).

Summary:
Total DFT energy (no corrections) in eV/cell: -18.94
Fermi-level density of states in states/eV/atom: 0.567

Lattice parameters (Å, degrees): 3.2995 3.2995 7.2201 90.00 90.00 90.00
Positions (direct):
Hf: 0.5000 0.5000 0.0000
Au: 0.0000 0.0000 0.7620
Au: 0.0000 0.0000 0.2380
Cd: 0.5000 0.5000 0.5000